AlOs4Br at its PBEsol-relaxed geometry, computed with meta-GGA SCAN.

* raw total energy: -1227.33 eV for the cell shown
* total magnetization: 12.0 Bohr magnetons per cell
* N(E_F): 1.2089 states/eV/atom

Unit cell a=7.3261 b=7.3261 c=7.3261 alpha=90.00 beta=90.00 gamma=90.00
Space group F-43m (No. 216)
Asymmetric unit:
Al (0.0000, 0.0000, 0.0000)
Os (0.1252, 0.1252, 0.6252)
Br (0.2500, 0.2500, 0.2500)

ZnCd2Ag at its PBEsol-relaxed geometry, computed with meta-GGA SCAN.

* E_form: 0.04 eV per atom
* total magnetization: 0.0 Bohr magnetons per cell
* N(E_F): 0.2888 states/eV/atom

Unit cell a=4.0949 b=4.0949 c=8.4259 alpha=90.00 beta=90.00 gamma=90.00
Space group I-4m2 (No. 119)
Asymmetric unit:
Zn (0.0000, 0.0000, 0.0000)
Cd (0.0000, 0.0000, 0.5000)
Cd (0.0000, 0.5000, 0.7500)
Ag (0.0000, 0.5000, 0.2500)

LaGaNi4 at its PBEsol-relaxed geometry, computed with meta-GGA SCAN.

* E_form: -0.39 eV per atom
* total magnetization: 0.0 Bohr magnetons per cell
* N(E_F): 0.7240 states/eV/atom

Unit cell a=5.1036 b=5.1036 c=3.8245 alpha=90.00 beta=90.00 gamma=120.00
Space group P-6m2 (No. 187)
Asymmetric unit:
La (0.0000, 0.0000, 0.0000)
Ga (0.6667, 0.3333, 0.0000)
Ni (0.0063, 0.5031, 0.5000)
Ni (0.3333, 0.6667, 0.0000)

ScPt2Br at its PBEsol-relaxed geometry, computed with meta-GGA SCAN.

* raw total energy: -702.17 eV for the cell shown
* total magnetization: 0.0 Bohr magnetons per cell
* N(E_F): 0.7021 states/eV/atom

Unit cell a=6.5295 b=6.5295 c=6.5295 alpha=90.00 beta=90.00 gamma=90.00
Space group F-43m (No. 216)
Asymmetric unit:
Sc (0.0000, 0.0000, 0.0000)
Pt (0.0000, 0.0000, 0.5000)
Pt (0.2500, 0.2500, 0.7500)
Br (0.2500, 0.2500, 0.2500)

SrOs2Ru at its PBEsol-relaxed geometry, computed with meta-GGA SCAN.

* E_form: 0.67 eV per atom
* total magnetization: 0.0 Bohr magnetons per cell
* N(E_F): 1.0036 states/eV/atom

Unit cell a=9.1024 b=2.8232 c=5.8661 alpha=90.00 beta=100.49 gamma=90.00
Space group Cm (No. 8)
Asymmetric unit:
Sr (0.0000, 0.0000, 0.0000)
Os (0.2292, 0.0000, 0.6383)
Os (0.4948, 0.0000, 0.5135)
Ru (0.2707, 0.5000, 0.3023)

MgAg8 at its PBEsol-relaxed geometry, computed with meta-GGA SCAN.

* E_form: -0.07 eV per atom
* total magnetization: 0.0 Bohr magnetons per cell
* N(E_F): 0.2885 states/eV/atom

Unit cell a=8.6424 b=8.6424 c=4.0382 alpha=90.00 beta=90.00 gamma=90.00
Space group I4/mmm (No. 139)
Asymmetric unit:
Mg (0.0000, 0.0000, 0.0000)
Ag (0.0000, 0.3336, 0.0000)
Ag (0.1665, 0.1665, 0.5000)

CsAg2BiS at its PBEsol-relaxed geometry, computed with meta-GGA SCAN.

* raw total energy: -187.49 eV for the cell shown
* total magnetization: 0.0 Bohr magnetons per cell
* N(E_F): 0.7586 states/eV/atom

Unit cell a=5.0592 b=5.0592 c=5.7601 alpha=90.00 beta=90.00 gamma=90.00
Space group P4/mmm (No. 123)
Asymmetric unit:
Cs (0.0000, 0.0000, 0.0000)
Ag (0.0000, 0.5000, 0.5000)
Bi (0.5000, 0.5000, 0.0000)
S (0.5000, 0.5000, 0.5000)

CaLaCr2O6 at its PBEsol-relaxed geometry, computed with meta-GGA SCAN.

* raw total energy: -314.19 eV for the cell shown
* total magnetization: 10.0 Bohr magnetons per cell
* N(E_F): 0.5515 states/eV/atom

Unit cell a=7.5778 b=5.3799 c=5.3565 alpha=90.00 beta=90.00 gamma=90.00
Space group Pmn2_1 (No. 31)
Asymmetric unit:
Ca (0.0000, 0.2109, 0.0000)
La (0.0000, 0.7243, 0.4878)
Cr (0.2493, 0.2510, 0.4919)
O (0.0000, 0.2621, 0.5666)
O (0.0000, 0.7655, 0.9295)
O (0.2112, 0.4626, 0.2045)
O (0.2166, 0.9685, 0.2729)

KBe2Ru at its PBEsol-relaxed geometry, computed with meta-GGA SCAN.

* E_form: 1.04 eV per atom
* total magnetization: 0.0 Bohr magnetons per cell
* N(E_F): 0.4889 states/eV/atom

Unit cell a=3.8620 b=5.3828 c=6.8046 alpha=90.00 beta=90.00 gamma=90.00
Space group Immm (No. 71)
Asymmetric unit:
K (0.0000, 0.0000, 0.0000)
Be (0.0000, 0.5000, 0.1654)
Ru (0.0000, 0.0000, 0.5000)

NiOs at its PBEsol-relaxed geometry, computed with meta-GGA SCAN.

* E_form: 0.09 eV per atom
* total magnetization: 0.0 Bohr magnetons per cell
* N(E_F): 0.7500 states/eV/atom

Unit cell a=4.5442 b=4.1748 c=5.1460 alpha=90.00 beta=90.00 gamma=90.00
Space group Pnma (No. 62)
Asymmetric unit:
Ni (0.0892, 0.2500, 0.1206)
Os (0.0853, 0.2500, 0.6243)

MnMoN2F at its PBEsol-relaxed geometry, computed with meta-GGA SCAN.

* raw total energy: -75.20 eV for the cell shown
* total magnetization: 5.7 Bohr magnetons per cell
* N(E_F): 0.4096 states/eV/atom

Unit cell a=3.7579 b=3.7579 c=3.5753 alpha=90.00 beta=90.00 gamma=90.00
Space group P4/mmm (No. 123)
Asymmetric unit:
Mn (0.0000, 0.0000, 0.0000)
Mo (0.5000, 0.5000, 0.5000)
N (0.0000, 0.5000, 0.0000)
F (0.0000, 0.0000, 0.5000)

Ca2WO5 at its PBEsol-relaxed geometry, computed with meta-GGA SCAN.

* raw total energy: -574.40 eV for the cell shown
* total magnetization: 0.0 Bohr magnetons per cell
* N(E_F): 0.0000 states/eV/atom

Unit cell a=7.4261 b=5.2638 c=11.0438 alpha=90.00 beta=109.23 gamma=90.00
Space group P2_1/c (No. 14)
Asymmetric unit:
Ca (0.1531, 0.0843, 0.3130)
Ca (0.3404, 0.5118, 0.1284)
W (0.0000, 0.0000, 0.0000)
W (0.5000, 0.0000, 0.0000)
O (0.0036, 0.2263, 0.6124)
O (0.1156, 0.7033, 0.6474)
O (0.2513, 0.1296, 0.0005)
O (0.3914, 0.6893, 0.9281)
O (0.4429, 0.1532, 0.8320)

Mg2HgSb2 at its PBEsol-relaxed geometry, computed with meta-GGA SCAN.

* raw total energy: -307.52 eV for the cell shown
* total magnetization: 0.0 Bohr magnetons per cell
* N(E_F): 0.0610 states/eV/atom

Unit cell a=5.1036 b=5.1036 c=10.7378 alpha=90.00 beta=90.00 gamma=90.00
Space group I4/mmm (No. 139)
Asymmetric unit:
Mg (0.0000, 0.5000, 0.2500)
Hg (0.0000, 0.0000, 0.0000)
Sb (0.0000, 0.0000, 0.3712)

LiBeSb4 at its PBEsol-relaxed geometry, computed with meta-GGA SCAN.

* raw total energy: -610.13 eV for the cell shown
* total magnetization: 0.0 Bohr magnetons per cell
* N(E_F): 0.5446 states/eV/atom

Unit cell a=8.6838 b=8.6838 c=8.6838 alpha=90.00 beta=90.00 gamma=90.00
Space group F-43m (No. 216)
Asymmetric unit:
Li (0.0000, 0.0000, 0.0000)
Be (0.2500, 0.2500, 0.7500)
Sb (0.1236, 0.1236, 0.3764)

Ta3CdSi at its PBEsol-relaxed geometry, computed with meta-GGA SCAN.

* raw total energy: -235.91 eV for the cell shown
* total magnetization: 0.0 Bohr magnetons per cell
* N(E_F): 1.0405 states/eV/atom

Unit cell a=4.6280 b=4.6280 c=4.6280 alpha=90.00 beta=90.00 gamma=90.00
Space group Pm-3m (No. 221)
Asymmetric unit:
Ta (0.0000, 0.0000, 0.5000)
Cd (0.5000, 0.5000, 0.5000)
Si (0.0000, 0.0000, 0.0000)

Cd2InRh at its PBEsol-relaxed geometry, computed with meta-GGA SCAN.

* E_form: -0.15 eV per atom
* total magnetization: 0.0 Bohr magnetons per cell
* N(E_F): 0.2587 states/eV/atom

Unit cell a=3.9556 b=4.0211 c=8.9872 alpha=90.00 beta=90.00 gamma=90.00
Space group Immm (No. 71)
Asymmetric unit:
Cd (0.0000, 0.0000, 0.2487)
In (0.0000, 0.5000, 0.0000)
Rh (0.0000, 0.5000, 0.5000)

Mg2CdNi at its PBEsol-relaxed geometry, computed with meta-GGA SCAN.

* E_form: -0.05 eV per atom
* total magnetization: 0.1 Bohr magnetons per cell
* N(E_F): 0.4788 states/eV/atom

Unit cell a=3.1407 b=3.1407 c=7.0587 alpha=90.00 beta=90.00 gamma=90.00
Space group P4mm (No. 99)
Asymmetric unit:
Mg (0.0000, 0.0000, 0.0000)
Mg (0.5000, 0.5000, 0.3110)
Cd (0.5000, 0.5000, 0.7204)
Ni (0.0000, 0.0000, 0.5070)

Mn2Ga2Pb at its PBEsol-relaxed geometry, computed with meta-GGA SCAN.

* E_form: 0.08 eV per atom
* total magnetization: 14.3 Bohr magnetons per cell
* N(E_F): 0.6285 states/eV/atom

Unit cell a=4.0990 b=4.0990 c=10.7136 alpha=90.00 beta=90.00 gamma=90.00
Space group I4/mmm (No. 139)
Asymmetric unit:
Mn (0.0000, 0.5000, 0.2500)
Ga (0.0000, 0.0000, 0.1165)
Pb (0.0000, 0.0000, 0.5000)

MgZnTc2 at its PBEsol-relaxed geometry, computed with meta-GGA SCAN.

* E_form: -0.05 eV per atom
* total magnetization: 0.0 Bohr magnetons per cell
* N(E_F): 0.3325 states/eV/atom

Unit cell a=6.1061 b=6.1061 c=6.1061 alpha=90.00 beta=90.00 gamma=90.00
Space group F-43m (No. 216)
Asymmetric unit:
Mg (0.0000, 0.0000, 0.0000)
Zn (0.2500, 0.2500, 0.2500)
Tc (0.0000, 0.0000, 0.5000)
Tc (0.2500, 0.2500, 0.7500)

NiPt2Rh at its PBEsol-relaxed geometry, computed with meta-GGA SCAN.

* E_form: -0.04 eV per atom
* total magnetization: 1.9 Bohr magnetons per cell
* N(E_F): 1.2748 states/eV/atom

Unit cell a=2.7057 b=2.7057 c=7.3822 alpha=90.00 beta=90.00 gamma=90.00
Space group P4mm (No. 99)
Asymmetric unit:
Ni (0.0000, 0.0000, 0.0000)
Pt (0.0000, 0.0000, 0.5143)
Pt (0.5000, 0.5000, 0.2374)
Rh (0.5000, 0.5000, 0.7760)